A relaxed RbBe3Te crystal. Source: the Alexandria database, functional PBE.

Geometry as extended XYZ:
```
5
Lattice="5.594 0.000 0.000 0.000 5.594 0.000 0.000 0.000 5.594" Properties=species:S:1:pos:R:3 pbc="T T T"
Rb 0.000 0.000 0.000
Be 0.000 0.000 2.797
Be 0.000 2.797 0.000
Be 2.797 0.000 0.000
Te 2.797 2.797 2.797
```

Output
The space-group type is Pm-3m, No. 221. The value obtained for the excess energy over the best structure of this formula in the dataset is 1014 meV/atom. The uncorrected formation energy is 2226 meV/atom.